i) # Be2MoCl | Alexandria via LeMat-Bulk | PBE | optimized geometry
# Fermi-level density of states (states/eV per atom): 0.6145
data_Be2MoCl
_space_group_name_H-M_alt 'P m m m'
_space_group_IT_number 47
_space_group_name_Hall '-P 2 2'
_cell_length_a 2.761
_cell_length_b 4.241
_cell_length_c 4.435
_cell_angle_alpha 90.00
_cell_angle_beta 90.00
_cell_angle_gamma 90.00
loop_
_atom_site_label
_atom_site_type_symbol
_atom_site_fract_x
_atom_site_fract_y
_atom_site_fract_z
Be1 Be 0.000 0.000 0.000
Be2 Be 0.500 0.500 0.000
Mo1 Mo 0.000 0.500 0.500
Cl1 Cl 0.500 0.000 0.500

---

ii) # Be2MoCl | Alexandria via LeMat-Bulk | PBE | optimized geometry
# Fermi-level density of states (states/eV per atom): 0.3382
data_Be2MoCl
_space_group_name_H-M_alt 'C 1 2/m 1'
_space_group_IT_number 12
_space_group_name_Hall '-C 2y'
_cell_length_a 8.623
_cell_length_b 2.779
_cell_length_c 5.005
_cell_angle_alpha 90.00
_cell_angle_beta 104.57
_cell_angle_gamma 90.00
loop_
_atom_site_label
_atom_site_type_symbol
_atom_site_fract_x
_atom_site_fract_y
_atom_site_fract_z
Be1 Be 0.207 0.000 0.343
Mo1 Mo 0.000 0.500 0.500
Cl1 Cl 0.000 0.000 0.000

---

Ranking the structures above by energy, ii) is first and the second is 145 meV/atom behind.